VASP calculation (PBE) on ZnHF after structural relaxation.

abc: 3.1450 3.1450 3.9333
angles: 90.00 90.00 120.00
Closest atoms and distances in Å follow each position.
Positions (direct):
Zn 0.0000 0.0000 0.0000  3 H 1.82, 2 F 1.97
H 0.6667 0.3333 0.0000  3 Zn 1.82
F 0.0000 0.0000 0.5000  2 Zn 1.97

Values from the calculation:
total magnetization: 0.00 Bohr magnetons per cell
calculated density: 4.21 g/cm³
crystal system: hexagonal
energy relative to the lowest polymorph listed for this composition: 137 meV/atom